A plane-wave DFT calculation with PBE was carried out for crystalline AlAg2Se at its relaxed geometry.

Cell: 3.5061 3.5061 6.2044 Å, 90.00 90.00 90.00°
Element x y z (fractional)
Ag  0.0000  0.0000  0.0375
Ag  0.5000  0.5000  0.2550
Se  0.5000  0.5000  0.6973
Al  0.0000  0.0000  0.5102

Summary:
The energy relative to the lowest polymorph listed for this composition is 0.053 eV/atom. The crystal system is tetragonal. As for the space group: No. 99.

A plane-wave DFT calculation with PBE was carried out for crystalline Sm2CuSnS5 at its relaxed geometry.

Cell: 3.8705 8.5200 11.7529 Å, 90.00 90.00 103.13°
Element x y z (fractional)
S  0.0391  0.0781  0.0708
S  0.2979  0.5959  0.3295
S  0.5067  0.0134  0.7924
S  0.2918  0.5837  0.6617
S  0.3550  0.7100  0.9969
S  0.7021  0.4041  0.8295
S  0.4933  0.9866  0.2924
S  0.7082  0.4163  0.1617
S  0.6450  0.2900  0.4969
S  0.9609  0.9219  0.5708
Sm  0.8842  0.7684  0.1841
Sm  0.1184  0.2367  0.3025
Sm  0.8816  0.7633  0.8025
Sm  0.1158  0.2316  0.6841
Cu  0.4988  0.9976  0.9868
Cu  0.5012  0.0024  0.4868
Sn  0.1889  0.3778  0.9992
Sn  0.8111  0.6222  0.4992

Summary:
The crystal system is orthorhombic. The total energy comes out at -5.49 eV/atom. As for the space group: No. 36.

A plane-wave DFT calculation with PBE was carried out for crystalline AcYTlAg at its relaxed geometry.

Cell: 5.5305 5.5305 5.5305 Å, 60.00 60.00 60.00°
Element x y z (fractional)
Y  0.7500  0.7500  0.7500
Ac  0.2500  0.2500  0.2500
Tl  0.5000  0.5000  0.5000
Ag  0.0000  0.0000  0.0000

Summary:
The calculation puts the formation energy at -0.291 eV/atom. The energy relative to the lowest polymorph listed for this composition is 0.028 eV/atom. The crystal system is cubic. As for the space group: No. 216.

no.,calculated density (Mg/m³)
1,7.00
2,5.66
3,8.72